{"formula": "CsNaCo3", "functional": "GGA-PBE", "state": "relaxed", "lattice": [[-4.711, -1.137, 0.148], [0.652, -2.144, 4.299], [-0.943, 4.197, 2.236]], "species": ["Cs", "Na", "Co", "Co", "Co"], "fractional_positions": [[0.000, 0.000, 0.000], [0.500, 0.500, 0.500], [0.000, 0.500, 0.000], [0.000, 0.000, 0.500], [0.500, 0.000, 0.000]], "crystal_system": "cubic", "sg": "No. 221", "energy_ev_per_atom": -2.4669}


{"formula": "La2Hg", "functional": "GGA-PBE", "state": "relaxed", "lattice": [[1.942, 8.134, 0.258], [-1.942, 8.134, 0.258], [0.000, 2.845, 6.442]], "species": ["La", "La", "La", "La", "Hg", "Hg"], "fractional_positions": [[0.500, 0.500, 0.767], [0.500, 0.500, 0.233], [0.805, 0.805, 0.195], [0.195, 0.195, 0.805], [0.870, 0.870, 0.629], [0.130, 0.130, 0.371]], "crystal_system": "orthorhombic", "sg": "No. 71", "energy_ev_per_atom": -3.6582}


{"formula": "MgCoSe4", "functional": "GGA-PBE", "state": "relaxed", "lattice": [[-3.493, 1.725, 4.142], [-5.417, 1.255, -1.188], [-4.171, -3.415, 1.807]], "species": ["Mg", "Co", "Se", "Se", "Se", "Se"], "fractional_positions": [[0.000, 0.000, 0.000], [0.750, 0.750, 0.750], [0.872, 0.376, 0.376], [0.376, 0.376, 0.872], [0.376, 0.872, 0.376], [0.376, 0.376, 0.376]], "crystal_system": "cubic", "sg": "No. 216", "energy_ev_per_atom": -3.1060, "raw_formation_energy_mev_per_atom": 667}


{"formula": "HoEr6Th4", "functional": "GGA-PBE", "state": "relaxed", "lattice": [[-2.751, 5.308, -5.024], [-5.421, -5.082, -2.400], [0.033, 2.072, 8.240]], "species": ["Ho", "Er", "Er", "Er", "Er", "Er", "Er", "Th", "Th", "Th", "Th"], "fractional_positions": [[0.500, 0.500, 0.000], [0.933, 0.428, 0.361], [0.428, 0.933, 0.361], [0.572, 0.572, 0.639], [0.000, 0.500, 0.000], [0.067, 0.067, 0.639], [0.500, 0.000, 0.000], [0.094, 0.757, 0.852], [0.906, 0.906, 0.148], [0.757, 0.094, 0.852], [0.243, 0.243, 0.148]], "crystal_system": "tetragonal", "sg": "No. 121", "energy_ev_per_atom": -5.0848}


{"formula": "YUBr6", "functional": "GGA-PBE", "state": "relaxed", "lattice": [[6.362, 0.007, 3.318], [2.305, 5.918, 3.334], [0.001, -0.022, 7.767]], "species": ["Y", "U", "Br", "Br", "Br", "Br", "Br", "Br"], "fractional_positions": [[0.000, 0.000, 0.000], [0.500, 0.500, 0.500], [0.089, 0.402, 0.755], [0.755, 0.088, 0.755], [0.598, 0.245, 0.245], [0.245, 0.912, 0.245], [0.911, 0.598, 0.245], [0.402, 0.755, 0.755]], "crystal_system": "triclinic", "sg": "No. 2", "energy_ev_per_atom": -4.9999, "raw_formation_energy_mev_per_atom": -1526}


{"formula": "Ta2InTe4", "functional": "GGA-PBE", "state": "relaxed", "lattice": [[-6.765, 4.464, 2.223], [-4.300, -7.110, 1.187], [7.705, 1.710, 4.117]], "species": ["In", "In", "Te", "Te", "Te", "Te", "Te", "Te", "Te", "Te", "Ta", "Ta", "Ta", "Ta"], "fractional_positions": [[0.248, 0.728, 0.495], [0.002, 0.022, 0.005], [0.855, 0.583, 0.710], [0.395, 0.167, 0.790], [0.874, 0.147, 0.293], [0.418, 0.147, 0.293], [0.854, 0.125, 0.708], [0.376, 0.603, 0.207], [0.832, 0.603, 0.207], [0.396, 0.625, 0.792], [0.625, 0.875, 0.250], [0.625, 0.375, 0.750], [0.125, 0.375, 0.750], [0.625, 0.375, 0.250]], "crystal_system": "monoclinic", "sg": "No. 12", "energy_ev_per_atom": -5.5411, "raw_formation_energy_mev_per_atom": 32}


| no. | calculated density (Mg/m³) |
| --- | --- |
| 1 | 4.85 |
| 2 | 7.92 |
| 3 | 5.10 |
| 4 | 8.84 |
| 5 | 4.58 |
| 6 | 7.50 |